Entry from the Alexandria database: an optimized crystal structure of Ho3MgCo (GGA-PBE).

Total energy (eV/atom): -4.54
ΔE to the lowest computed polymorph (kJ/mol of atoms): 7.4
Energy of formation from the pure elements (eV/f.u.): -0.27

The structure in POSCAR format:
```
Ho3MgCo
1.0
5.070 -7.293 0.000
5.070 7.293 0.000
0.000 0.000 3.704
Ho Mg Co
6 2 2
Direct
0.164 0.417 0.499 Ho
0.202 0.798 0.000 Ho
0.417 0.164 0.499 Ho
0.583 0.836 0.499 Ho
0.798 0.202 0.000 Ho
0.836 0.583 0.499 Ho
0.000 0.000 0.501 Mg
0.500 0.500 0.999 Mg
0.000 0.500 0.999 Co
0.500 0.000 0.999 Co
```

=====

Entry from the Alexandria database: an optimized crystal structure of Ho4Mg3Co (GGA-PBE).

Total energy (eV/atom): -3.87
Energy of formation from the pure elements (eV/f.u.): -0.77

The structure in POSCAR format:
```
Ho4Mg3Co
1.0
3.430 0.000 0.000
0.000 3.430 0.000
0.000 0.000 16.984
Ho Mg Co
4 3 1
Direct
0.000 0.000 0.094 Ho
0.000 0.000 0.365 Ho
0.000 0.000 0.635 Ho
0.000 0.000 0.906 Ho
0.500 0.500 0.233 Mg
0.500 0.500 0.500 Mg
0.500 0.500 0.767 Mg
0.500 0.500 0.000 Co
```

=====

Entry from the Alexandria database: an optimized crystal structure of HoMgCo2 (GGA-PBE).

Total energy (eV/atom): -5.08
ΔE to the lowest computed polymorph (kJ/mol of atoms): 0.0
Energy of formation from the pure elements (eV/f.u.): 0.07

The structure in POSCAR format:
```
HoMgCo2
1.0
0.000 3.172 3.172
3.172 0.000 3.172
3.172 3.172 0.000
Ho Mg Co
1 1 2
Direct
0.000 0.000 0.000 Ho
0.500 0.500 0.500 Mg
0.250 0.250 0.250 Co
0.750 0.750 0.750 Co
```

=====

Entry from the Alexandria database: an optimized crystal structure of Ho3MgCo (GGA-PBE).

Total energy (eV/atom): -4.54
ΔE to the lowest computed polymorph (kJ/mol of atoms): 7.3
Energy of formation from the pure elements (eV/f.u.): -0.27

The structure in POSCAR format:
```
Ho3MgCo
1.0
5.180 0.000 0.000
0.000 5.180 0.000
0.000 0.000 5.180
Ho Mg Co
3 1 1
Direct
0.000 0.000 0.500 Ho
0.000 0.500 0.000 Ho
0.500 0.000 0.000 Ho
0.500 0.500 0.500 Mg
0.000 0.000 0.000 Co
```

=====

Entry from the Alexandria database: an optimized crystal structure of HoMgCo2 (GGA-PBE).

Total energy (eV/atom): -5.07
ΔE to the lowest computed polymorph (kJ/mol of atoms): 1.2
Energy of formation from the pure elements (eV/f.u.): 0.12

The structure in POSCAR format:
```
HoMgCo2
1.0
4.426 0.000 0.000
0.000 4.426 0.000
0.000 0.000 3.256
Ho Mg Co
1 1 2
Direct
0.000 0.000 0.000 Ho
0.500 0.500 0.000 Mg
0.000 0.500 0.500 Co
0.500 0.000 0.500 Co
```

=====

Entry from the Alexandria database: an optimized crystal structure of Ho4MgCo (GGA-PBE).

Total energy (eV/atom): -4.66
ΔE to the lowest computed polymorph (kJ/mol of atoms): 0.0
Energy of formation from the pure elements (eV/f.u.): -0.95

The structure in POSCAR format:
```
Ho4MgCo
1.0
0.000 6.734 6.734
6.734 0.000 6.734
6.734 6.734 0.000
Ho Mg Co
16 4 4
Direct
0.063 0.063 0.437 Ho
0.063 0.437 0.063 Ho
0.063 0.437 0.437 Ho
0.187 0.187 0.813 Ho
0.187 0.813 0.187 Ho
0.187 0.813 0.813 Ho
0.217 0.594 0.594 Ho
0.437 0.063 0.063 Ho
0.437 0.063 0.437 Ho
0.437 0.437 0.063 Ho
0.594 0.217 0.594 Ho
0.594 0.594 0.217 Ho
0.594 0.594 0.594 Ho
0.813 0.187 0.187 Ho
0.813 0.187 0.813 Ho
0.813 0.813 0.187 Ho
0.512 0.829 0.829 Mg
0.829 0.512 0.829 Mg
0.829 0.829 0.512 Mg
0.829 0.829 0.829 Mg
0.391 0.391 0.391 Co
0.391 0.391 0.828 Co
0.391 0.828 0.391 Co
0.828 0.391 0.391 Co
```

=====

Entry from the Alexandria database: an optimized crystal structure of HoMgCo10 (GGA-PBE).

Total energy (eV/atom): -6.43
Energy of formation from the pure elements (eV/f.u.): 0.02

The structure in POSCAR format:
```
HoMgCo10
1.0
3.990 0.000 0.000
0.000 4.792 0.000
0.000 0.000 8.400
Ho Mg Co
1 1 10
Direct
0.000 0.000 0.000 Ho
0.000 0.500 0.500 Mg
0.000 0.000 0.343 Co
0.000 0.000 0.657 Co
0.000 0.500 0.186 Co
0.000 0.500 0.814 Co
0.500 0.000 0.500 Co
0.500 0.250 0.251 Co
0.500 0.250 0.749 Co
0.500 0.500 0.000 Co
0.500 0.750 0.251 Co
0.500 0.750 0.749 Co
```

=====

Entry from the Alexandria database: an optimized crystal structure of HoMgCoNi (GGA-PBE).

Total energy (eV/atom): -4.90
Energy of formation from the pure elements (eV/f.u.): -0.53

The structure in POSCAR format:
```
HoMgCoNi
1.0
0.000 3.200 3.200
3.200 0.000 3.200
3.200 3.200 0.000
Ho Mg Co Ni
1 1 1 1
Direct
0.000 0.000 0.000 Ho
0.500 0.500 0.500 Mg
0.750 0.750 0.750 Co
0.250 0.250 0.250 Ni
```